1.
First-principles (PBE+U) data for crystalline VAuIO2 at its relaxed geometry, as listed in Alexandria via LeMat-Bulk.

relative energy among the computed polymorphs = 1.261 eV per atom
density = 6.30 g/cm3

Unit cell a=4.0693 b=4.0693 c=6.4786 alpha=90.00 beta=90.00 gamma=90.00
Element x y z (fractional)
1 O 0.0000 0.5000 0.0000
2 O 0.5000 0.0000 0.0000
3 I 0.0000 0.0000 0.5000
4 V 0.5000 0.5000 0.5000
5 Au 0.0000 0.0000 0.0000

=====

2.
First-principles (PBE+U) data for crystalline VAuIO2 at its relaxed geometry, as listed in Alexandria via LeMat-Bulk.

relative energy among the computed polymorphs = 0.000 eV per atom
density = 7.48 g/cm3

Unit cell a=3.8526 b=3.8526 c=6.0828 alpha=90.00 beta=90.00 gamma=90.00
Element x y z (fractional)
1 Au 0.5000 0.5000 0.5000
2 O 0.0000 0.5000 0.0000
3 O 0.5000 0.0000 0.0000
4 V 0.0000 0.0000 0.0000
5 I 0.0000 0.0000 0.5000

=====

3.
First-principles (PBE+U) data for crystalline WAuIO2 at its relaxed geometry, as listed in Alexandria via LeMat-Bulk.

relative energy among the computed polymorphs = 0.000 eV per atom
density = 7.56 g/cm3

Unit cell a=3.9321 b=3.9321 c=7.6687 alpha=90.00 beta=90.00 gamma=90.00
Element x y z (fractional)
1 W 0.0000 0.0000 0.0000
2 O 0.5000 0.0000 0.0000
3 O 0.0000 0.5000 0.0000
4 Au 0.5000 0.5000 0.5000
5 I 0.0000 0.0000 0.5000

=====

4.
First-principles (PBE+U) data for crystalline WAuIO2 at its relaxed geometry, as listed in Alexandria via LeMat-Bulk.

relative energy among the computed polymorphs = 1.593 eV per atom
density = 7.85 g/cm3

Unit cell a=4.1058 b=4.1058 c=6.7756 alpha=90.00 beta=90.00 gamma=90.00
Element x y z (fractional)
1 I 0.0000 0.0000 0.5000
2 W 0.5000 0.5000 0.5000
3 O 0.5000 0.0000 0.0000
4 O 0.0000 0.5000 0.0000
5 Au 0.0000 0.0000 0.0000